The following is a DFT calculation (GGA-PBEsol) of a relaxed structure of Ti3NbNi.

abc: 4.445 4.445 4.445
angles: 90.00 90.00 90.00
Fractional coordinates of all 5 atoms:
Ti: 0.000 0.000 0.500
Ti: 0.000 0.500 0.000
Ti: 0.500 0.000 0.000
Nb: 0.500 0.500 0.500
Ni: 0.000 0.000 0.000

Values from the calculation:
Its symmetry is Pm-3m, No. 221. As for the mass density: 5.6 g/cm3. For the formation energy from the elements, the calculation gives 0.49 eV per atom.



The following is a DFT calculation (GGA-PBEsol) of a relaxed structure of RuPb2Se.

abc: 5.040 5.040 3.432
angles: 94.40 94.40 100.80
Fractional coordinates of all 4 atoms:
Ru: 0.000 0.000 0.000
Pb: 0.000 0.500 0.500
Pb: 0.500 0.000 0.500
Se: 0.500 0.500 0.000

Values from the calculation:
Its symmetry is C2/m, No. 12. As for the mass density: 11.6 g/cm3. Its formation energy from raw total energies is 1.63 eV per formula unit.